Below is a relaxed structure of YPuPd, with properties calculated at the GGA-PBE level.

## Properties
- crystal system = cubic
- DFT total energy (eV per atom) = -8.865

Structure (extended XYZ):
```
3
Lattice="0.0000 3.4223 3.4223 3.4223 0.0000 3.4223 3.4223 3.4223 0.0000" Properties=species:S:1:pos:R:3 pbc="T T T"
Y 0.0000 0.0000 0.0000
Pu 3.4223 3.4223 3.4223
Pd 5.1334 5.1334 5.1334
```